# 1
The following is a DFT calculation (GGA-PBE) of a relaxed Ac2TbMg5 crystal.

Lattice parameters (Å, degrees): 5.4217 5.4217 16.2683 90.00 90.00 90.00
Last column: nearest neighbours and their distance in Å.
Positions (direct):
1 Ac 0.0000 0.0000 0.2411  8 Mg 3.49-3.68, 4 Ac 3.84
2 Ac 0.0000 0.0000 0.7589  8 Mg 3.49-3.68, 4 Ac 3.84
3 Ac 0.5000 0.5000 0.2589  8 Mg 3.49-3.68, 4 Ac 3.84
4 Ac 0.5000 0.5000 0.7411  8 Mg 3.49-3.68, 4 Ac 3.84
5 Tb 0.0000 0.0000 0.5000  8 Mg 3.21
6 Tb 0.5000 0.5000 0.0000  8 Mg 3.21
7 Mg 0.0000 0.0000 0.0000  8 Mg 3.21
8 Mg 0.0000 0.5000 0.1062  2 Tb 3.21, 3 Mg 3.21-3.46, 2 Ac 3.49
9 Mg 0.0000 0.5000 0.3938  3 Mg 3.21-3.46, 2 Tb 3.21, 2 Ac 3.49
10 Mg 0.0000 0.5000 0.6062  2 Tb 3.21, 3 Mg 3.21-3.46, 2 Ac 3.49
11 Mg 0.0000 0.5000 0.8938  2 Tb 3.21, 3 Mg 3.21-3.46, 2 Ac 3.49
12 Mg 0.5000 0.0000 0.1062  2 Tb 3.21, 3 Mg 3.21-3.46, 2 Ac 3.49
13 Mg 0.5000 0.0000 0.3938  3 Mg 3.21-3.46, 2 Tb 3.21, 2 Ac 3.49
14 Mg 0.5000 0.0000 0.6062  2 Tb 3.21, 3 Mg 3.21-3.46, 2 Ac 3.49
15 Mg 0.5000 0.0000 0.8938  2 Tb 3.21, 3 Mg 3.21-3.46, 2 Ac 3.49
16 Mg 0.5000 0.5000 0.5000  8 Mg 3.21

Values from the calculation:
* calculated total energy: -21.20 eV/f.u.
* calculated volume: 478.2 Å³/cell
* magnetic moment: 0.00 μB per formula unit



# 2
The following is a DFT calculation (GGA-PBE) of a relaxed AcTb2Mg crystal.

Lattice parameters (Å, degrees): 3.8133 3.8133 8.9862 90.00 90.00 90.00
Last column: nearest neighbours and their distance in Å.
Positions (direct):
1 Ac 0.0000 0.0000 0.0000  8 Tb 3.75, 4 Ac 3.81
2 Tb 0.5000 0.5000 0.2907  4 Mg 3.29
3 Tb 0.5000 0.5000 0.7093  4 Mg 3.29
4 Mg 0.0000 0.0000 0.5000  8 Tb 3.29

Values from the calculation:
* energy above the most stable polymorph in this dataset: 0.000 eV per formula unit
* calculated total energy: -15.00 eV/f.u.
* calculated volume: 130.7 Å³/cell
* magnetic moment: 0.00 μB per formula unit



# 3
The following is a DFT calculation (GGA-PBE) of a relaxed AcTb2Mg2 crystal.

Lattice parameters (Å, degrees): 3.9776 21.2344 3.8057 90.00 90.00 90.00
Last column: nearest neighbours and their distance in Å.
Positions (direct):
1 Ac 0.0000 0.0000 0.0000  8 Mg 3.53, 2 Ac 3.81, 2 Tb 3.93
2 Ac 0.5000 0.5000 0.0000  8 Mg 3.53, 2 Ac 3.81, 2 Tb 3.93
3 Tb 0.0000 0.1850 0.0000  4 Mg 3.25, 2 Tb 3.40
4 Tb 0.0000 0.8150 0.0000  4 Mg 3.25, 2 Tb 3.40
5 Tb 0.5000 0.3150 0.0000  4 Mg 3.25, 2 Tb 3.40
6 Tb 0.5000 0.6850 0.0000  4 Mg 3.25, 2 Tb 3.40
7 Mg 0.0000 0.3962 0.5000  4 Tb 3.25, 4 Ac 3.53
8 Mg 0.0000 0.6038 0.5000  4 Tb 3.25, 4 Ac 3.53
9 Mg 0.5000 0.1038 0.5000  4 Tb 3.25, 4 Ac 3.53
10 Mg 0.5000 0.8962 0.5000  4 Tb 3.25, 4 Ac 3.53

Values from the calculation:
* calculated total energy: -16.14 eV/f.u.
* calculated volume: 321.4 Å³/cell
* magnetic moment: 0.00 μB per formula unit



# 4
The following is a DFT calculation (GGA-PBE) of a relaxed AcTb2Mg crystal.

Lattice parameters (Å, degrees): 3.6904 3.6904 34.2196 90.00 90.00 120.00
Last column: nearest neighbours and their distance in Å.
Positions (direct):
1 Ac 0.0000 0.0000 0.0000  6 Ac 3.69, 6 Tb 3.78-3.79
2 Ac 0.3333 0.6667 0.6667  6 Ac 3.69, 6 Tb 3.78-3.79
3 Ac 0.6667 0.3333 0.3333  6 Ac 3.69, 6 Tb 3.78-3.79
4 Tb 0.0000 0.0000 0.5750  3 Mg 3.35, 6 Tb 3.69
5 Tb 0.0000 0.0000 0.7579  3 Mg 3.33, 6 Tb 3.69
6 Tb 0.3333 0.6667 0.2417  3 Mg 3.35, 6 Tb 3.69
7 Tb 0.3333 0.6667 0.4246  3 Mg 3.33, 6 Tb 3.69
8 Tb 0.6667 0.3333 0.0912  3 Mg 3.33, 6 Tb 3.69
9 Tb 0.6667 0.3333 0.9084  3 Mg 3.35, 6 Tb 3.69
10 Mg 0.0000 0.0000 0.1662  6 Tb 3.33-3.35, 6 Mg 3.69
11 Mg 0.3333 0.6667 0.8329  6 Tb 3.33-3.35, 6 Mg 3.69
12 Mg 0.6667 0.3333 0.4996  6 Tb 3.33-3.35, 6 Mg 3.69

Values from the calculation:
* energy above the most stable polymorph in this dataset: 0.392 eV per formula unit
* calculated total energy: -14.61 eV/f.u.
* calculated volume: 403.6 Å³/cell
* magnetic moment: 0.00 μB per formula unit



# 5
The following is a DFT calculation (GGA-PBE) of a relaxed Ac3TbMg4 crystal.

Lattice parameters (Å, degrees): 4.0333 4.0333 16.2080 90.00 90.00 90.00
Last column: nearest neighbours and their distance in Å.
Positions (direct):
1 Ac 0.0000 0.0000 0.0000  8 Mg 3.54
2 Ac 0.0000 0.0000 0.2614  8 Mg 3.57-3.58, 1 Tb 3.87
3 Ac 0.0000 0.0000 0.7386  8 Mg 3.57-3.58, 1 Tb 3.87
4 Tb 0.0000 0.0000 0.5000  8 Mg 3.32
5 Mg 0.5000 0.5000 0.1294  8 Ac 3.54-3.57
6 Mg 0.5000 0.5000 0.3951  4 Tb 3.32, 1 Mg 3.40, 4 Ac 3.58
7 Mg 0.5000 0.5000 0.6049  4 Tb 3.32, 1 Mg 3.40, 4 Ac 3.58
8 Mg 0.5000 0.5000 0.8706  8 Ac 3.54-3.57

Values from the calculation:
* calculated total energy: -23.92 eV/f.u.
* calculated volume: 263.7 Å³/cell
* magnetic moment: 0.00 μB per formula unit



# 6
The following is a DFT calculation (GGA-PBE) of a relaxed AcTbMg17 crystal.

Lattice parameters (Å, degrees): 7.8528 7.8528 7.8528 82.36 82.36 82.36
Last column: nearest neighbours and their distance in Å.
Positions (direct):
1 Ac 0.0000 0.0000 0.0000  19 Mg 3.65-3.96
2 Tb 0.6626 0.6626 0.6626  13 Mg 3.49-3.71
3 Mg 0.0318 0.3374 0.6319  8 Mg 3.00-3.22
4 Mg 0.0318 0.6319 0.3374  8 Mg 3.00-3.22
5 Mg 0.1864 0.6813 0.6813  9 Mg 2.96-3.21
6 Mg 0.2382 0.2382 0.2382  4 Mg 3.01-3.14
7 Mg 0.3293 0.3293 0.8379  10 Mg 3.00-3.19
8 Mg 0.3293 0.8379 0.3293  10 Mg 3.00-3.19
9 Mg 0.3374 0.0318 0.6319  8 Mg 3.00-3.22
10 Mg 0.3374 0.6319 0.0318  8 Mg 3.00-3.22
11 Mg 0.4348 0.4348 0.4348  7 Mg 3.01-3.21
12 Mg 0.5034 0.9775 0.9775  8 Mg 2.96-3.22
13 Mg 0.6319 0.0318 0.3374  8 Mg 3.00-3.22
14 Mg 0.6319 0.3374 0.0318  8 Mg 3.00-3.22
15 Mg 0.6813 0.1864 0.6813  9 Mg 2.96-3.21
16 Mg 0.6813 0.6813 0.1864  9 Mg 2.96-3.21
17 Mg 0.8379 0.3293 0.3293  10 Mg 3.00-3.19
18 Mg 0.9775 0.5034 0.9775  8 Mg 2.96-3.22
19 Mg 0.9775 0.9775 0.5034  8 Mg 2.96-3.22

Values from the calculation:
* calculated total energy: -36.79 eV/f.u.
* calculated volume: 472.4 Å³/cell
* magnetic moment: 0.00 μB per formula unit



# 7
The following is a DFT calculation (GGA-PBE) of a relaxed Ac3Tb2Mg2 crystal.

Lattice parameters (Å, degrees): 5.4974 24.5885 3.7358 90.00 90.00 90.00
Last column: nearest neighbours and their distance in Å.
Positions (direct):
1 Ac 0.0000 0.0000 0.0000  4 Ac 3.72-3.74, 8 Mg 3.76
2 Ac 0.0000 0.1514 0.0000  6 Tb 3.66-3.80, 3 Ac 3.72-3.74, 4 Mg 3.86
3 Ac 0.0000 0.8486 0.0000  6 Tb 3.66-3.80, 3 Ac 3.72-3.74, 4 Mg 3.86
4 Ac 0.5000 0.3486 0.0000  6 Tb 3.66-3.80, 3 Ac 3.72-3.74, 4 Mg 3.86
5 Ac 0.5000 0.5000 0.0000  4 Ac 3.72-3.74, 8 Mg 3.76
6 Ac 0.5000 0.6514 0.0000  6 Tb 3.66-3.80, 3 Ac 3.72-3.74, 4 Mg 3.86
7 Tb 0.0000 0.2858 0.5000  2 Tb 3.27, 1 Mg 3.52
8 Tb 0.0000 0.7142 0.5000  2 Tb 3.27, 1 Mg 3.52
9 Tb 0.5000 0.2142 0.5000  2 Tb 3.27, 1 Mg 3.52
10 Tb 0.5000 0.7858 0.5000  2 Tb 3.27, 1 Mg 3.52
11 Mg 0.0000 0.4289 0.5000  3 Mg 3.50-3.74, 1 Tb 3.52, 8 Ac 3.76-3.86
12 Mg 0.0000 0.5711 0.5000  3 Mg 3.50-3.74, 1 Tb 3.52, 8 Ac 3.76-3.86
13 Mg 0.5000 0.0711 0.5000  3 Mg 3.50-3.74, 1 Tb 3.52, 8 Ac 3.76-3.86
14 Mg 0.5000 0.9289 0.5000  3 Mg 3.50-3.74, 1 Tb 3.52, 8 Ac 3.76-3.86

Values from the calculation:
* calculated total energy: -24.27 eV/f.u.
* calculated volume: 505.0 Å³/cell
* magnetic moment: 0.00 μB per formula unit



# 8
The following is a DFT calculation (GGA-PBE) of a relaxed AcTb5Mg4 crystal.

Lattice parameters (Å, degrees): 3.8116 3.8116 20.3660 90.00 90.00 90.00
Last column: nearest neighbours and their distance in Å.
Positions (direct):
1 Ac 0.0000 0.0000 0.0000  8 Tb 3.77, 4 Ac 3.81
2 Tb 0.5000 0.5000 0.1294  4 Mg 3.29
3 Tb 0.5000 0.5000 0.3147  8 Mg 3.29
4 Tb 0.5000 0.5000 0.5000  8 Mg 3.29
5 Tb 0.5000 0.5000 0.6853  8 Mg 3.29
6 Tb 0.5000 0.5000 0.8706  4 Mg 3.29
7 Mg 0.0000 0.0000 0.2224  8 Tb 3.29
8 Mg 0.0000 0.0000 0.4072  8 Tb 3.29
9 Mg 0.0000 0.0000 0.5928  8 Tb 3.29
10 Mg 0.0000 0.0000 0.7776  8 Tb 3.29

Values from the calculation:
* calculated total energy: -34.19 eV/f.u.
* calculated volume: 295.9 Å³/cell
* magnetic moment: 0.00 μB per formula unit